Computed, not measured: an optimized crystal structure of Tc2AgHOs at the PBE level of DFT.

Computed properties:
Symmetry   P4/mmm (123)

a b c (Å): 4.8562 4.8562 3.1754
angles (deg): 90.00 90.00 90.00
Positions (direct):
Tc 0.0000 0.5000 0.0000
Tc 0.5000 0.0000 0.0000
Ag 0.0000 0.0000 0.5000
H 0.5000 0.5000 0.5000
Os 0.5000 0.5000 0.0000

***

Computed, not measured: an optimized crystal structure of TiAgHOs2 at the PBE level of DFT.

Computed properties:
Symmetry   P4/mmm (123)

a b c (Å): 3.9656 3.9656 3.9820
angles (deg): 90.00 90.00 90.00
Positions (direct):
Ti 0.0000 0.0000 0.0000
Ag 0.5000 0.5000 0.0000
H 0.0000 0.0000 0.5000
Os 0.0000 0.5000 0.5000
Os 0.5000 0.0000 0.5000

***

Computed, not measured: an optimized crystal structure of ZrAg2HOs at the PBE level of DFT.

Computed properties:
Symmetry   P4/mmm (123)

a b c (Å): 4.0731 4.0731 4.3837
angles (deg): 90.00 90.00 90.00
Positions (direct):
Zr 0.0000 0.0000 0.0000
Ag 0.0000 0.5000 0.5000
Ag 0.5000 0.0000 0.5000
H 0.5000 0.5000 0.5000
Os 0.5000 0.5000 0.0000

***

Computed, not measured: an optimized crystal structure of Ag3PH at the PBE level of DFT.

Computed properties:
Polymorph energy (0 for the lowest one)   0 meV per atom
Symmetry   Pm-3m (221)

a b c (Å): 4.1854 4.1854 4.1854
angles (deg): 90.00 90.00 90.00
Positions (direct):
Ag 0.0000 0.0000 0.5000
Ag 0.0000 0.5000 0.0000
Ag 0.5000 0.0000 0.0000
P 0.5000 0.5000 0.5000
H 0.0000 0.0000 0.0000

***

Computed, not measured: an optimized crystal structure of AgP3H at the PBE level of DFT.

Computed properties:
Polymorph energy (0 for the lowest one)   0 meV per atom
Symmetry   Pm-3m (221)

a b c (Å): 4.0936 4.0936 4.0936
angles (deg): 90.00 90.00 90.00
Positions (direct):
Ag 0.0000 0.0000 0.0000
P 0.0000 0.5000 0.5000
P 0.5000 0.0000 0.5000
P 0.5000 0.5000 0.0000
H 0.5000 0.5000 0.5000

***

Computed, not measured: an optimized crystal structure of AgP3H at the PBE level of DFT.

Computed properties:
Polymorph energy (0 for the lowest one)   877 meV per atom
Symmetry   Pm-3m (221)

a b c (Å): 4.8706 4.8706 4.8706
angles (deg): 90.00 90.00 90.00
Positions (direct):
Ag 0.0000 0.0000 0.0000
P 0.0000 0.0000 0.5000
P 0.0000 0.5000 0.0000
P 0.5000 0.0000 0.0000
H 0.5000 0.5000 0.5000

***

Computed, not measured: an optimized crystal structure of Ag12P3H5 at the PBE level of DFT.

Computed properties:
Symmetry   Ia-3d (230)

a b c (Å): 11.5038 11.5038 11.5038
angles (deg): 109.47 109.47 109.47
Positions (direct):
Ag 0.0188 0.2053 0.1100
Ag 0.0188 0.3135 0.9089
Ag 0.0911 0.6100 0.4047
Ag 0.0911 0.9812 0.6865
Ag 0.0953 0.7053 0.6865
Ag 0.0953 0.8900 0.4089
Ag 0.1100 0.0188 0.2053
Ag 0.1100 0.5911 0.9047
Ag 0.1865 0.2053 0.5953
Ag 0.1865 0.4812 0.5911
Ag 0.2053 0.1100 0.0188
Ag 0.2053 0.5953 0.1865
Ag 0.2947 0.3135 0.9047
Ag 0.2947 0.4812 0.3900
Ag 0.3135 0.9047 0.2947
Ag 0.3135 0.9089 0.0188
Ag 0.3900 0.2947 0.4812
Ag 0.3900 0.5953 0.9089
Ag 0.4047 0.0911 0.6100
Ag 0.4047 0.8135 0.7947
Ag 0.4089 0.0953 0.8900
Ag 0.4089 0.8135 0.5188
Ag 0.4812 0.3900 0.2947
Ag 0.4812 0.5911 0.1865
Ag 0.5188 0.4089 0.8135
Ag 0.5188 0.6100 0.7053
Ag 0.5911 0.1865 0.4812
Ag 0.5911 0.9047 0.1100
Ag 0.5953 0.1865 0.2053
Ag 0.5953 0.9089 0.3900
Ag 0.6100 0.4047 0.0911
Ag 0.6100 0.7053 0.5188
Ag 0.6865 0.0911 0.9812
Ag 0.6865 0.0953 0.7053
Ag 0.7053 0.5188 0.6100
Ag 0.7053 0.6865 0.0953
Ag 0.7947 0.4047 0.8135
Ag 0.7947 0.8900 0.9812
Ag 0.8135 0.5188 0.4089
Ag 0.8135 0.7947 0.4047
Ag 0.8900 0.4089 0.0953
Ag 0.8900 0.9812 0.7947
Ag 0.9047 0.1100 0.5911
Ag 0.9047 0.2947 0.3135
Ag 0.9089 0.0188 0.3135
Ag 0.9089 0.3900 0.5953
Ag 0.9812 0.6865 0.0911
Ag 0.9812 0.7947 0.8900
P 0.1250 0.2500 0.3750
P 0.1250 0.3750 0.7500
P 0.2500 0.3750 0.1250
P 0.2500 0.8750 0.6250
P 0.3750 0.1250 0.2500
P 0.3750 0.7500 0.1250
P 0.6250 0.2500 0.8750
P 0.6250 0.8750 0.7500
P 0.7500 0.1250 0.3750
P 0.7500 0.6250 0.8750
P 0.8750 0.6250 0.2500
P 0.8750 0.7500 0.6250
H 0.0000 0.0000 0.0000
H 0.0000 0.0000 0.5000
H 0.0000 0.5000 0.0000
H 0.0000 0.5000 0.5000
H 0.1250 0.7500 0.8750
H 0.1250 0.8750 0.2500
H 0.2500 0.1250 0.8750
H 0.2500 0.6250 0.3750
H 0.3750 0.2500 0.6250
H 0.3750 0.6250 0.7500
H 0.5000 0.0000 0.0000
H 0.5000 0.0000 0.5000
H 0.5000 0.5000 0.0000
H 0.5000 0.5000 0.5000
H 0.6250 0.3750 0.2500
H 0.6250 0.7500 0.3750
H 0.7500 0.3750 0.6250
H 0.7500 0.8750 0.1250
H 0.8750 0.1250 0.7500
H 0.8750 0.2500 0.1250

***

Computed, not measured: an optimized crystal structure of AgP3H12 at the PBE level of DFT.

Computed properties:
Symmetry   R3c (161)

a b c (Å): 9.7211 9.7211 9.7211
angles (deg): 44.86 44.86 44.86
Positions (direct):
Ag 0.0000 0.0000 0.0000
Ag 0.5000 0.5000 0.5000
P 0.0823 0.4168 0.7524
P 0.2524 0.9168 0.5823
P 0.4168 0.7524 0.0823
P 0.5823 0.2524 0.9168
P 0.7524 0.0823 0.4168
P 0.9168 0.5823 0.2524
H 0.0452 0.7202 0.1215
H 0.0972 0.8323 0.7326
H 0.1215 0.0452 0.7202
H 0.1911 0.2504 0.8888
H 0.2202 0.5452 0.6215
H 0.2326 0.3323 0.5972
H 0.2504 0.8888 0.1911
H 0.2788 0.8825 0.9543
H 0.3323 0.5972 0.2326
H 0.3825 0.7788 0.4543
H 0.3888 0.7504 0.6911
H 0.4543 0.3825 0.7788
H 0.5452 0.6215 0.2202
H 0.5972 0.2326 0.3323
H 0.6215 0.2202 0.5452
H 0.6911 0.3888 0.7504
H 0.7202 0.1215 0.0452
H 0.7326 0.0972 0.8323
H 0.7504 0.6911 0.3888
H 0.7788 0.4543 0.3825
H 0.8323 0.7326 0.0972
H 0.8825 0.9543 0.2788
H 0.8888 0.1911 0.2504
H 0.9543 0.2788 0.8825

***

Computed, not measured: an optimized crystal structure of AgPHPb2 at the PBE level of DFT.

Computed properties:
Symmetry   P4/mmm (123)

a b c (Å): 5.1359 5.1359 3.8794
angles (deg): 90.00 90.00 90.00
Positions (direct):
Ag 0.0000 0.0000 0.0000
P 0.5000 0.5000 0.0000
H 0.0000 0.0000 0.5000
Pb 0.0000 0.5000 0.5000
Pb 0.5000 0.0000 0.5000

***

Computed, not measured: an optimized crystal structure of AgP2HS6 at the PBE level of DFT.

Computed properties:
Symmetry   C2/c (15)

a b c (Å): 9.1821 9.1821 5.6949
angles (deg): 105.94 105.94 95.11
Positions (direct):
Ag 0.2248 0.7752 0.7500
Ag 0.7752 0.2248 0.2500
P 0.2050 0.3576 0.3043
P 0.3576 0.2050 0.8043
P 0.6424 0.7950 0.1957
P 0.7950 0.6424 0.6957
H 0.3309 0.6691 0.2500
H 0.6691 0.3309 0.7500
S 0.0220 0.2003 0.1054
S 0.1821 0.5801 0.3018
S 0.2003 0.0220 0.6054
S 0.2951 0.4067 0.7144
S 0.4067 0.2951 0.2144
S 0.4199 0.8179 0.1982
S 0.5801 0.1821 0.8018
S 0.5933 0.7049 0.7856
S 0.7049 0.5933 0.2856
S 0.7997 0.9780 0.3946
S 0.8179 0.4199 0.6982
S 0.9780 0.7997 0.8946

***

Computed, not measured: an optimized crystal structure of Zr2AgPH at the PBE level of DFT.

Computed properties:
Symmetry   P4/mmm (123)

a b c (Å): 4.3818 4.3818 3.9913
angles (deg): 90.00 90.00 90.00
Positions (direct):
Zr 0.0000 0.5000 0.0000
Zr 0.5000 0.0000 0.0000
Ag 0.0000 0.0000 0.5000
P 0.5000 0.5000 0.5000
H 0.0000 0.0000 0.0000

***

Computed, not measured: an optimized crystal structure of PaAgH2 at the PBE level of DFT.

Computed properties:
Symmetry   R-3m (166)

a b c (Å): 6.4227 6.4227 6.4227
angles (deg): 29.06 29.06 29.06
Positions (direct):
Pa 0.0000 0.0000 0.0000
Ag 0.5000 0.5000 0.5000
H 0.3994 0.3994 0.3994
H 0.6006 0.6006 0.6006

***

Computed, not measured: an optimized crystal structure of PaAgH8Rh2 at the PBE level of DFT.

Computed properties:
Symmetry   C2/m (12)

a b c (Å): 4.8029 4.8029 6.0678
angles (deg): 108.67 108.67 51.11
Positions (direct):
Pa 0.0000 0.0000 0.0000
Ag 0.5000 0.5000 0.5000
H 0.0615 0.5522 0.1529
H 0.2182 0.2182 0.3812
H 0.4478 0.9385 0.8471
H 0.4560 0.4560 0.8337
H 0.5440 0.5440 0.1663
H 0.5522 0.0615 0.1529
H 0.7818 0.7818 0.6188
H 0.9385 0.4478 0.8471
Rh 0.2391 0.2391 0.6722
Rh 0.7609 0.7609 0.3278

***

Computed, not measured: an optimized crystal structure of AgH2Pb at the PBE level of DFT.

Computed properties:
Polymorph energy (0 for the lowest one)   301 meV per atom
Symmetry   Fm-3m (225)

a b c (Å): 4.3370 4.3370 4.3370
angles (deg): 60.00 60.00 60.00
Positions (direct):
Ag 0.0000 0.0000 0.0000
H 0.2500 0.2500 0.2500
H 0.7500 0.7500 0.7500
Pb 0.5000 0.5000 0.5000

***

Computed, not measured: an optimized crystal structure of AgHPb3 at the PBE level of DFT.

Computed properties:
Polymorph energy (0 for the lowest one)   0 meV per atom
Symmetry   Pm-3m (221)

a b c (Å): 4.8995 4.8995 4.8995
angles (deg): 90.00 90.00 90.00
Positions (direct):
Ag 0.0000 0.0000 0.0000
H 0.5000 0.5000 0.5000
Pb 0.0000 0.5000 0.5000
Pb 0.5000 0.0000 0.5000
Pb 0.5000 0.5000 0.0000

***

Computed, not measured: an optimized crystal structure of Ag3H12Pb5 at the PBE level of DFT.

Computed properties:
Symmetry   Ia-3d (230)

a b c (Å): 11.2508 11.2508 11.2508
angles (deg): 109.47 109.47 109.47
Positions (direct):
Ag 0.1250 0.2500 0.3750
Ag 0.1250 0.3750 0.7500
Ag 0.2500 0.3750 0.1250
Ag 0.2500 0.8750 0.6250
Ag 0.3750 0.1250 0.2500
Ag 0.3750 0.7500 0.1250
Ag 0.6250 0.2500 0.8750
Ag 0.6250 0.8750 0.7500
Ag 0.7500 0.1250 0.3750
Ag 0.7500 0.6250 0.8750
Ag 0.8750 0.6250 0.2500
Ag 0.8750 0.7500 0.6250
H 0.0323 0.6110 0.3626
H 0.0323 0.9213 0.6697
H 0.0787 0.2484 0.1110
H 0.0787 0.3303 0.9677
H 0.1110 0.0787 0.2484
H 0.1110 0.5323 0.8626
H 0.1374 0.7484 0.6697
H 0.1374 0.8890 0.4677
H 0.1697 0.2484 0.6374
H 0.1697 0.4213 0.5323
H 0.2484 0.1110 0.0787
H 0.2484 0.6374 0.1697
H 0.2516 0.3303 0.8626
H 0.2516 0.4213 0.3890
H 0.3303 0.8626 0.2516
H 0.3303 0.9677 0.0787
H 0.3626 0.0323 0.6110
H 0.3626 0.8303 0.7516
H 0.3890 0.2516 0.4213
H 0.3890 0.6374 0.9677
H 0.4213 0.3890 0.2516
H 0.4213 0.5323 0.1697
H 0.4677 0.1374 0.8890
H 0.4677 0.8303 0.5787
H 0.5323 0.1697 0.4213
H 0.5323 0.8626 0.1110
H 0.5787 0.4677 0.8303
H 0.5787 0.6110 0.7484
H 0.6110 0.3626 0.0323
H 0.6110 0.7484 0.5787
H 0.6374 0.1697 0.2484
H 0.6374 0.9677 0.3890
H 0.6697 0.0323 0.9213
H 0.6697 0.1374 0.7484
H 0.7484 0.5787 0.6110
H 0.7484 0.6697 0.1374
H 0.7516 0.3626 0.8303
H 0.7516 0.8890 0.9213
H 0.8303 0.5787 0.4677
H 0.8303 0.7516 0.3626
H 0.8626 0.1110 0.5323
H 0.8626 0.2516 0.3303
H 0.8890 0.4677 0.1374
H 0.8890 0.9213 0.7516
H 0.9213 0.6697 0.0323
H 0.9213 0.7516 0.8890
H 0.9677 0.0787 0.3303
H 0.9677 0.3890 0.6374
Pb 0.0000 0.0000 0.0000
Pb 0.0000 0.0000 0.5000
Pb 0.0000 0.5000 0.0000
Pb 0.0000 0.5000 0.5000
Pb 0.1250 0.7500 0.8750
Pb 0.1250 0.8750 0.2500
Pb 0.2500 0.1250 0.8750
Pb 0.2500 0.6250 0.3750
Pb 0.3750 0.2500 0.6250
Pb 0.3750 0.6250 0.7500
Pb 0.5000 0.0000 0.0000
Pb 0.5000 0.0000 0.5000
Pb 0.5000 0.5000 0.0000
Pb 0.5000 0.5000 0.5000
Pb 0.6250 0.3750 0.2500
Pb 0.6250 0.7500 0.3750
Pb 0.7500 0.3750 0.6250
Pb 0.7500 0.8750 0.1250
Pb 0.8750 0.1250 0.7500
Pb 0.8750 0.2500 0.1250

***

Computed, not measured: an optimized crystal structure of AgH3Pb at the PBE level of DFT.

Computed properties:
Polymorph energy (0 for the lowest one)   0 meV per atom
Symmetry   Pm-3m (221)

a b c (Å): 3.9534 3.9534 3.9534
angles (deg): 90.00 90.00 90.00
Positions (direct):
Ag 0.0000 0.0000 0.0000
H 0.0000 0.0000 0.5000
H 0.0000 0.5000 0.0000
H 0.5000 0.0000 0.0000
Pb 0.5000 0.5000 0.5000

***

Number 1: size of the total moment 0.00 μB per cell, N(E_F) 5.30 states/eV per cell, raw total energy -32.32 eV/cell. Number 2: size of the total moment 0.00 μB per cell, N(E_F) 2.82 states/eV per cell, raw total energy -35.83 eV/cell. Number 3: size of the total moment 0.00 μB per cell, N(E_F) 3.66 states/eV per cell, raw total energy -27.45 eV/cell. Number 4: size of the total moment 0.00 μB per cell, N(E_F) 1.40 states/eV per cell, raw total energy -15.61 eV/cell. Number 5: size of the total moment 0.00 μB per cell, N(E_F) 2.40 states/eV per cell, raw total energy -18.05 eV/cell. Number 6: size of the total moment 0.15 μB per cell, N(E_F) 4.23 states/eV per cell, raw total energy -13.66 eV/cell. Number 7: size of the total moment 0.00 μB per cell, N(E_F) 5.31 states/eV per cell, raw total energy -249.30 eV/cell. Number 8: size of the total moment 0.00 μB per cell, N(E_F) 2.55 states/eV per cell, raw total energy -112.80 eV/cell. Number 9: size of the total moment 0.00 μB per cell, N(E_F) 1.90 states/eV per cell, raw total energy -17.24 eV/cell. Number 10: size of the total moment 0.00 μB per cell, N(E_F) 0.00 states/eV per cell, raw total energy -85.65 eV/cell. Number 11: size of the total moment 0.00 μB per cell, N(E_F) 1.62 states/eV per cell, raw total energy -30.34 eV/cell. Number 12: size of the total moment 0.00 μB per cell, N(E_F) 2.78 states/eV per cell, raw total energy -19.18 eV/cell. Number 13: size of the total moment 0.03 μB per cell, N(E_F) 4.30 states/eV per cell, raw total energy -54.56 eV/cell. Number 14: size of the total moment 0.00 μB per cell, N(E_F) 0.86 states/eV per cell, raw total energy -10.66 eV/cell. Number 15: size of the total moment 0.00 μB per cell, N(E_F) 1.05 states/eV per cell, raw total energy -15.98 eV/cell. Number 16: size of the total moment 0.00 μB per cell, N(E_F) 22.44 states/eV per cell, raw total energy -228.11 eV/cell. Number 17: size of the total moment 0.00 μB per cell, N(E_F) 1.15 states/eV per cell, raw total energy -14.40 eV/cell.